[1]
Material: CaSm2ErHg4
Method: DFT, PBE-GGA
State: relaxed

a b c (Å): 5.319 5.319 9.212
angles (deg): 73.22 73.22 60.00
Sites, in units of the cell vectors:
1 Ca 0.000 0.000 0.000
2 Sm 0.749 0.749 0.754
3 Sm 0.251 0.251 0.246
4 Er 0.500 0.500 0.500
5 Hg 0.377 0.377 0.869
6 Hg 0.873 0.873 0.381
7 Hg 0.127 0.127 0.619
8 Hg 0.623 0.623 0.131

## Properties
The calculation puts the raw total energy at -2.66 eV per atom. As for the formation energy: -513 meV/atom. The total magnetization comes out at 0.0 μB per cell.

***

[2]
Material: Er2FeSi4
Method: DFT, PBE-GGA
State: relaxed

a b c (Å): 8.240 8.240 3.978
angles (deg): 90.00 90.00 152.01
Sites, in units of the cell vectors:
1 Er 0.107 0.893 0.500
2 Er 0.889 0.111 0.000
3 Fe 0.749 0.251 0.500
4 Si 0.309 0.691 0.500
5 Si 0.692 0.308 0.000
6 Si 0.461 0.539 0.500
7 Si 0.543 0.457 0.000

## Properties
Its distance to the lowest polymorph of the same formula is 0.0964 eV per atom. The calculation puts the raw total energy at -6.13 eV per atom. The total magnetization comes out at 0.0 μB per cell.

***

[3]
Material: PmGdPuSc
Method: DFT, PBE-GGA
State: relaxed

a b c (Å): 5.514 5.514 5.514
angles (deg): 60.00 60.00 60.00
Sites, in units of the cell vectors:
1 Sc 0.000 0.000 0.000
2 Gd 0.750 0.750 0.750
3 Pm 0.250 0.250 0.250
4 Pu 0.500 0.500 0.500

## Properties
The calculation puts the raw total energy at -9.68 eV per atom. As for the formation energy: 197 meV/atom. The total magnetization comes out at 0.0 μB per cell.

***

[4]
Material: LiYErAl
Method: DFT, PBE-GGA
State: relaxed

a b c (Å): 5.136 5.136 5.136
angles (deg): 60.00 60.00 60.00
Sites, in units of the cell vectors:
1 Y 0.750 0.750 0.750
2 Li 0.000 0.000 0.000
3 Al 0.500 0.500 0.500
4 Er 0.250 0.250 0.250

## Properties
The calculation puts the raw total energy at -4.40 eV per atom. As for the formation energy: -226 meV/atom. The total magnetization comes out at 0.0 μB per cell.

***

- Which of these has the lowest raw total energy?
  PmGdPuSc

***

Copy entry 4 word for word.
Material: LiYErAl
Method: DFT, PBE-GGA
State: relaxed

a b c (Å): 5.136 5.136 5.136
angles (deg): 60.00 60.00 60.00
Sites, in units of the cell vectors:
1 Y 0.750 0.750 0.750
2 Li 0.000 0.000 0.000
3 Al 0.500 0.500 0.500
4 Er 0.250 0.250 0.250

## Properties
The calculation puts the raw total energy at -4.40 eV per atom. As for the formation energy: -226 meV/atom. The total magnetization comes out at 0.0 μB per cell.

***

- raw total energy of number 2 (Er2FeSi4)?
  -6.13 eV per atom